PrTm2PuP4: relaxed, PBE-GGA.

V = 184 Å³/f.u.
ΔH_f (0 K) = -1.44 eV per atom
ρ = 7.63 g/cm3

a b c (Å): 6.9521 4.0343 6.9724
angles (deg): 90.00 109.53 90.00
With the nearest neighbours (Å) after each atom.
Positions (direct):
Pr (0.0000, 0.0000, 0.0000)  6 P 2.90-2.91
Tm (0.5000, 0.0000, 0.5000)  6 P 2.78-2.79
Tm (0.5000, 0.5000, 0.0000)  6 P 2.85
Pu (0.0000, 0.5000, 0.5000)  6 P 2.84
P (0.2548, 0.0000, 0.7442)  3 Tm 2.78-2.85, 2 Pu 2.84, 1 Pr 2.90
P (0.2605, 0.5000, 0.2609)  3 Tm 2.79-2.85, 1 Pu 2.84, 2 Pr 2.91
P (0.7395, 0.5000, 0.7392)  3 Tm 2.79-2.85, 1 Pu 2.84, 2 Pr 2.91
P (0.7452, 0.0000, 0.2558)  3 Tm 2.78-2.85, 2 Pu 2.84, 1 Pr 2.90